The following is a PBE-GGA calculation of a geometry-optimized BeInSeBr2 structure, from Alexandria.

Lattice parameters (Å, degrees): 4.936 4.936 4.840 90.00 90.00 90.00
Fractional positions:
Be1 0.000 0.000 0.000
Br1 0.500 0.000 0.000
Br2 0.000 0.500 0.000
In1 0.500 0.500 0.500
Se1 0.000 0.000 0.500

Values from the calculation:
ΔE_f (raw) = -0.27 eV/atom
E above lowest polymorph = 0 meV per atom